# Cr2MoSe | Alexandria | GGA-PBEsol | relaxed
# **Formation energy without anion corrections**: 1.1 eV per formula unit
# **DOS at the Fermi energy**: 1.27 states/eV per atom
# **Space group**: P4/mmm
data_Cr2MoSe
_cell_length_a 4.154
_cell_length_b 4.154
_cell_length_c 3.021
_cell_angle_alpha 90.00
_cell_angle_beta 90.00
_cell_angle_gamma 90.00
_symmetry_space_group_name_H-M 'P 1'
_symmetry_Int_Tables_number 1
_symmetry_space_group_name_Hall 'P 1'
loop_
_atom_site_label
_atom_site_type_symbol
_atom_site_fract_x
_atom_site_fract_y
_atom_site_fract_z
Cr1 Cr 0.000 0.500 0.000
Cr2 Cr 0.500 0.000 0.000
Mo1 Mo 0.000 0.000 0.500
Se1 Se 0.500 0.500 0.500


# CeFe4B4 | Alexandria | GGA-PBEsol | relaxed
# **Formation energy from the elements**: -0.556 eV/atom
# **DOS at the Fermi energy**: 0.14 states/eV per atom
# **Space group**: P4_2/n
data_CeFe4B4
_cell_length_a 6.909
_cell_length_b 6.909
_cell_length_c 3.771
_cell_angle_alpha 90.00
_cell_angle_beta 90.00
_cell_angle_gamma 90.00
_symmetry_space_group_name_H-M 'P 1'
_symmetry_Int_Tables_number 1
_symmetry_space_group_name_Hall 'P 1'
loop_
_atom_site_label
_atom_site_type_symbol
_atom_site_fract_x
_atom_site_fract_y
_atom_site_fract_z
Ce1 Ce 0.250 0.250 0.250
Ce2 Ce 0.750 0.750 0.750
Fe1 Fe 0.120 0.635 0.148
Fe2 Fe 0.135 0.880 0.648
Fe3 Fe 0.365 0.620 0.648
Fe4 Fe 0.380 0.865 0.148
Fe5 Fe 0.620 0.135 0.852
Fe6 Fe 0.635 0.380 0.352
Fe7 Fe 0.865 0.120 0.352
Fe8 Fe 0.880 0.365 0.852
B1 B 0.046 0.914 0.148
B2 B 0.086 0.546 0.648
B3 B 0.414 0.954 0.648
B4 B 0.454 0.586 0.148
B5 B 0.546 0.414 0.852
B6 B 0.586 0.046 0.352
B7 B 0.914 0.454 0.352
B8 B 0.954 0.086 0.852


# BAs2BrO | Alexandria | GGA-PBEsol | relaxed
# **Formation energy without anion corrections**: 5.4 eV per formula unit
# **DOS at the Fermi energy**: 0.57 states/eV per atom
# **Space group**: P4/mmm
data_BAs2BrO
_cell_length_a 4.319
_cell_length_b 4.319
_cell_length_c 4.327
_cell_angle_alpha 90.00
_cell_angle_beta 90.00
_cell_angle_gamma 90.00
_symmetry_space_group_name_H-M 'P 1'
_symmetry_Int_Tables_number 1
_symmetry_space_group_name_Hall 'P 1'
loop_
_atom_site_label
_atom_site_type_symbol
_atom_site_fract_x
_atom_site_fract_y
_atom_site_fract_z
B1 B 0.000 0.000 0.000
As1 As 0.000 0.500 0.000
As2 As 0.500 0.000 0.000
Br1 Br 0.000 0.000 0.500
O1 O 0.500 0.500 0.500


# Sr2CaAu | Alexandria | GGA-PBEsol | relaxed
# **Formation energy from the elements**: -0.350 eV/atom
# **DOS at the Fermi energy**: 0.64 states/eV per atom
# **Space group**: Amm2
data_Sr2CaAu
_cell_length_a 4.124
_cell_length_b 8.289
_cell_length_c 8.289
_cell_angle_alpha 32.48
_cell_angle_beta 90.00
_cell_angle_gamma 90.00
_symmetry_space_group_name_H-M 'P 1'
_symmetry_Int_Tables_number 1
_symmetry_space_group_name_Hall 'P 1'
loop_
_atom_site_label
_atom_site_type_symbol
_atom_site_fract_x
_atom_site_fract_y
_atom_site_fract_z
Sr1 Sr 0.000 0.000 0.000
Sr2 Sr 0.500 0.339 0.339
Ca1 Ca 0.500 0.658 0.658
Au1 Au 0.000 0.798 0.798


# MoW2Se | Alexandria | GGA-PBEsol | relaxed
# **Formation energy without anion corrections**: 2.7 eV per formula unit
# **DOS at the Fermi energy**: 1.14 states/eV per atom
# **Space group**: P4/mmm
data_MoW2Se
_cell_length_a 3.686
_cell_length_b 3.686
_cell_length_c 4.646
_cell_angle_alpha 90.00
_cell_angle_beta 90.00
_cell_angle_gamma 90.00
_symmetry_space_group_name_H-M 'P 1'
_symmetry_Int_Tables_number 1
_symmetry_space_group_name_Hall 'P 1'
loop_
_atom_site_label
_atom_site_type_symbol
_atom_site_fract_x
_atom_site_fract_y
_atom_site_fract_z
Mo1 Mo 0.000 0.000 0.000
W1 W 0.000 0.500 0.500
W2 W 0.500 0.000 0.500
Se1 Se 0.500 0.500 0.000


# Sr3Eu | Alexandria | GGA-PBEsol | relaxed
# **Formation energy from the elements**: 0.044 eV/atom
# **DOS at the Fermi energy**: 3.67 states/eV per atom
# **Space group**: I4/mmm
data_Sr3Eu
_cell_length_a 7.108
_cell_length_b 7.108
_cell_length_c 7.108
_cell_angle_alpha 131.68
_cell_angle_beta 131.68
_cell_angle_gamma 70.73
_symmetry_space_group_name_H-M 'P 1'
_symmetry_Int_Tables_number 1
_symmetry_space_group_name_Hall 'P 1'
loop_
_atom_site_label
_atom_site_type_symbol
_atom_site_fract_x
_atom_site_fract_y
_atom_site_fract_z
Sr1 Sr 0.000 0.000 0.000
Sr2 Sr 0.250 0.750 0.500
Sr3 Sr 0.750 0.250 0.500
Eu1 Eu 0.500 0.500 0.000


# KNbCrRh2 | Alexandria | GGA-PBEsol | relaxed
# **Formation energy from the elements**: 1.007 eV/atom
# **DOS at the Fermi energy**: 0.97 states/eV per atom
# **Space group**: P4/mmm
data_KNbCrRh2
_cell_length_a 4.600
_cell_length_b 4.600
_cell_length_c 4.532
_cell_angle_alpha 90.00
_cell_angle_beta 90.00
_cell_angle_gamma 90.00
_symmetry_space_group_name_H-M 'P 1'
_symmetry_Int_Tables_number 1
_symmetry_space_group_name_Hall 'P 1'
loop_
_atom_site_label
_atom_site_type_symbol
_atom_site_fract_x
_atom_site_fract_y
_atom_site_fract_z
K1 K 0.000 0.000 0.000
Nb1 Nb 0.500 0.500 0.000
Cr1 Cr 0.500 0.500 0.500
Rh1 Rh 0.000 0.500 0.500
Rh2 Rh 0.500 0.000 0.500


# Mg3CrS | Alexandria | GGA-PBEsol | relaxed
# **Formation energy without anion corrections**: 4.4 eV per formula unit
# **DOS at the Fermi energy**: 0.71 states/eV per atom
# **Space group**: Pm-3m
data_Mg3CrS
_cell_length_a 5.101
_cell_length_b 5.101
_cell_length_c 5.101
_cell_angle_alpha 90.00
_cell_angle_beta 90.00
_cell_angle_gamma 90.00
_symmetry_space_group_name_H-M 'P 1'
_symmetry_Int_Tables_number 1
_symmetry_space_group_name_Hall 'P 1'
loop_
_atom_site_label
_atom_site_type_symbol
_atom_site_fract_x
_atom_site_fract_y
_atom_site_fract_z
Mg1 Mg 0.000 0.000 0.500
Mg2 Mg 0.000 0.500 0.000
Mg3 Mg 0.500 0.000 0.000
Cr1 Cr 0.000 0.000 0.000
S1 S 0.500 0.500 0.500


# KInSiC2 | Alexandria | GGA-PBEsol | relaxed
# **Formation energy without anion corrections**: 16.4 eV per formula unit
# **DOS at the Fermi energy**: 0.58 states/eV per atom
# **Space group**: P4/mmm
data_KInSiC2
_cell_length_a 4.673
_cell_length_b 4.673
_cell_length_c 5.570
_cell_angle_alpha 90.00
_cell_angle_beta 90.00
_cell_angle_gamma 90.00
_symmetry_space_group_name_H-M 'P 1'
_symmetry_Int_Tables_number 1
_symmetry_space_group_name_Hall 'P 1'
loop_
_atom_site_label
_atom_site_type_symbol
_atom_site_fract_x
_atom_site_fract_y
_atom_site_fract_z
K1 K 0.000 0.000 0.000
In1 In 0.500 0.500 0.500
Si1 Si 0.000 0.000 0.500
C1 C 0.000 0.500 0.000
C2 C 0.500 0.000 0.000


# Cr3NiN | Alexandria | GGA-PBEsol | relaxed
# **Formation energy without anion corrections**: -1.3 eV per formula unit
# **DOS at the Fermi energy**: 0.99 states/eV per atom
# **Space group**: Cmcm
data_Cr3NiN
_cell_length_a 4.922
_cell_length_b 4.922
_cell_length_c 7.795
_cell_angle_alpha 90.00
_cell_angle_beta 90.00
_cell_angle_gamma 148.20
_symmetry_space_group_name_H-M 'P 1'
_symmetry_Int_Tables_number 1
_symmetry_space_group_name_Hall 'P 1'
loop_
_atom_site_label
_atom_site_type_symbol
_atom_site_fract_x
_atom_site_fract_y
_atom_site_fract_z
Cr1 Cr 0.021 0.979 0.750
Cr2 Cr 0.364 0.636 0.529
Cr3 Cr 0.364 0.636 0.971
Cr4 Cr 0.636 0.364 0.029
Cr5 Cr 0.636 0.364 0.471
Cr6 Cr 0.979 0.021 0.250
Ni1 Ni 0.252 0.748 0.250
Ni2 Ni 0.748 0.252 0.750
N1 N 0.000 0.000 0.000
N2 N 0.000 0.000 0.500


# CaTaTl2 | Alexandria | GGA-PBEsol | relaxed
# **Formation energy from the elements**: 0.764 eV/atom
# **DOS at the Fermi energy**: 1.00 states/eV per atom
# **Space group**: F-43m
data_CaTaTl2
_cell_length_a 5.178
_cell_length_b 5.178
_cell_length_c 5.178
_cell_angle_alpha 60.00
_cell_angle_beta 60.00
_cell_angle_gamma 60.00
_symmetry_space_group_name_H-M 'P 1'
_symmetry_Int_Tables_number 1
_symmetry_space_group_name_Hall 'P 1'
loop_
_atom_site_label
_atom_site_type_symbol
_atom_site_fract_x
_atom_site_fract_y
_atom_site_fract_z
Ca1 Ca 0.000 0.000 0.000
Ta1 Ta 0.750 0.750 0.750
Tl1 Tl 0.250 0.250 0.250
Tl2 Tl 0.500 0.500 0.500


# FeBBr2 | Alexandria | GGA-PBEsol | relaxed
# **Formation energy without anion corrections**: 4.3 eV per formula unit
# **DOS at the Fermi energy**: 0.95 states/eV per atom
# **Space group**: I-42d
data_FeBBr2
_cell_length_a 6.629
_cell_length_b 6.629
_cell_length_c 6.629
_cell_angle_alpha 125.86
_cell_angle_beta 125.86
_cell_angle_gamma 80.12
_symmetry_space_group_name_H-M 'P 1'
_symmetry_Int_Tables_number 1
_symmetry_space_group_name_Hall 'P 1'
loop_
_atom_site_label
_atom_site_type_symbol
_atom_site_fract_x
_atom_site_fract_y
_atom_site_fract_z
Fe1 Fe 0.000 0.000 0.000
Fe2 Fe 0.750 0.250 0.500
B1 B 0.250 0.750 0.500
B2 B 0.500 0.500 0.000
Br1 Br 0.097 0.125 0.472
Br2 Br 0.375 0.903 0.028
Br3 Br 0.653 0.625 0.528
Br4 Br 0.875 0.347 0.972